1.
## PmEu2Br (PBE-GGA)

Data for a relaxed structure of PmEu2Br.

a = 3.693 Å, b = 3.693 Å, c = 10.176 Å
α = 90.00°, β = 90.00°, γ = 90.00°
Element x y z (fractional)
Pm1 0.000 0.000 0.000
Eu1 0.500 0.500 0.278
Eu2 0.500 0.500 0.722
Br1 0.000 0.000 0.500

space group: P4/mmm (123)
M_tot: 14.590 μB/f.u.
calculated volume: 34.70 Å³ per atom
crystal system: tetragonal
formation energy (no corrections): -2.38 eV per formula unit

***

2.
## PmEuBr2 (PBE-GGA)

Data for a relaxed structure of PmEuBr2.

a = 3.844 Å, b = 3.844 Å, c = 31.105 Å
α = 90.00°, β = 90.00°, γ = 120.00°
Element x y z (fractional)
Pm1 0.000 0.000 0.000
Pm2 0.333 0.667 0.667
Pm3 0.667 0.333 0.333
Eu1 0.000 0.000 0.500
Eu2 0.333 0.667 0.167
Eu3 0.667 0.333 0.833
Br1 0.000 0.000 0.401
Br2 0.000 0.000 0.599
Br3 0.333 0.667 0.067
Br4 0.333 0.667 0.266
Br5 0.667 0.333 0.734
Br6 0.667 0.333 0.933

space group: R-3m (166)
M_tot: 7.803 μB/f.u.
calculated volume: 33.16 Å³ per atom
crystal system: trigonal
formation energy (no corrections): -4.76 eV per formula unit

***

3.
## PmEu2Br (PBE-GGA)

Data for a relaxed structure of PmEu2Br.

a = 3.862 Å, b = 3.862 Å, c = 32.561 Å
α = 90.00°, β = 90.00°, γ = 120.00°
Element x y z (fractional)
Pm1 0.000 0.000 0.000
Pm2 0.333 0.667 0.667
Pm3 0.667 0.333 0.333
Eu1 0.000 0.000 0.239
Eu2 0.000 0.000 0.761
Eu3 0.333 0.667 0.428
Eu4 0.333 0.667 0.905
Eu5 0.667 0.333 0.095
Eu6 0.667 0.333 0.572
Br1 0.000 0.000 0.500
Br2 0.333 0.667 0.167
Br3 0.667 0.333 0.833

space group: R-3m (166)
M_tot: 15.080 μB/f.u.
calculated volume: 35.05 Å³ per atom
crystal system: trigonal
formation energy (no corrections): -2.68 eV per formula unit

***

4.
## PmEuSbBr (PBE-GGA)

Data for a relaxed structure of PmEuSbBr.

a = 7.723 Å, b = 7.723 Å, c = 7.723 Å
α = 90.00°, β = 90.00°, γ = 90.00°
Element x y z (fractional)
Pm1 0.000 0.000 0.000
Pm2 0.000 0.500 0.500
Pm3 0.500 0.000 0.500
Pm4 0.500 0.500 0.000
Eu1 0.000 0.000 0.500
Eu2 0.000 0.500 0.000
Eu3 0.500 0.000 0.000
Eu4 0.500 0.500 0.500
Sb1 0.250 0.250 0.750
Sb2 0.250 0.750 0.250
Sb3 0.750 0.250 0.250
Sb4 0.750 0.750 0.750
Br1 0.250 0.250 0.250
Br2 0.250 0.750 0.750
Br3 0.750 0.250 0.750
Br4 0.750 0.750 0.250

space group: F-43m (216)
M_tot: 7.921 μB/f.u.
calculated volume: 28.78 Å³ per atom
crystal system: cubic
formation energy (no corrections): -4.62 eV per formula unit

***

5.
## PrEuBr (PBE-GGA)

Data for a relaxed structure of PrEuBr.

a = 3.922 Å, b = 3.922 Å, c = 7.626 Å
α = 90.00°, β = 90.00°, γ = 120.00°
Element x y z (fractional)
Pr1 0.000 0.000 0.000
Eu1 0.333 0.667 0.609
Br1 0.667 0.333 0.299

space group: P3m1 (156)
M_tot: 7.930 μB/f.u.
calculated volume: 33.87 Å³ per atom
crystal system: trigonal
formation energy (no corrections): -2.50 eV per formula unit

***

6.
## RbEuBr2 (PBE-GGA)

Data for a relaxed structure of RbEuBr2.

a = 3.932 Å, b = 3.932 Å, c = 8.439 Å
α = 90.00°, β = 90.00°, γ = 90.00°
Element x y z (fractional)
Rb1 0.000 0.000 0.000
Eu1 0.000 0.000 0.500
Br1 0.500 0.500 0.276
Br2 0.500 0.500 0.724

space group: P4/mmm (123)
M_tot: 7.861 μB/f.u.
calculated volume: 32.62 Å³ per atom
crystal system: tetragonal
formation energy (no corrections): -5.62 eV per formula unit

***

Question: What is the formula in the sixth record?
Answer: RbEuBr2

***

Question: calculated volume of number 5 (PrEuBr)?
Answer: 33.87 Å³ per atom